Entry 1:
5
Lattice="5.0365 0.0000 0.0000 0.0000 5.0365 0.0000 0.0000 0.0000 5.0365" Properties=species:S:1:pos:R:3 comment="V3AgCl GGA-PBE optimized geometry" e_form_raw_ev_per_atom=1.5489 total_energy_ev_per_cell=-24.309 magmom_total_mub_per_fu=9.88 e_above_lowest_polymorph_mev_per_atom=965 vol_a3_per_atom=25.55 dos_at_fermi_per_ev_fu=16.7 pbc="T T T"
V 0.0000 0.0000 2.5182
V 0.0000 2.5182 0.0000
V 2.5182 0.0000 0.0000
Ag 0.0000 0.0000 0.0000
Cl 2.5182 2.5182 2.5182

---

Entry 2:
12
Lattice="7.3946 0.0000 0.0000 0.0000 7.3946 0.0000 0.0000 0.0000 7.7180" Properties=species:S:1:pos:R:3 comment="VAgCl4 GGA-PBE optimized geometry" e_form_raw_ev_per_atom=-0.6962 total_energy_ev_per_cell=-47.067 magmom_total_mub_per_fu=1.99 e_above_lowest_polymorph_mev_per_atom=235 vol_a3_per_atom=35.17 dos_at_fermi_per_ev_fu=5.7 pbc="T T T"
V 0.0000 3.6973 0.0000
V 3.6973 0.0000 3.8590
Ag 0.0000 0.0000 0.0000
Ag 0.0000 0.0000 3.8590
Cl 1.6276 2.0985 0.0000
Cl 1.6276 5.2961 0.0000
Cl 2.0985 1.6276 3.8590
Cl 2.0985 5.7671 3.8590
Cl 5.2961 1.6276 3.8590
Cl 5.2961 5.7671 3.8590
Cl 5.7671 2.0985 0.0000
Cl 5.7671 5.2961 0.0000

---

Entry 3:
11
Lattice="6.1213 -4.7642 0.0000 6.1213 4.7642 0.0000 -0.6953 0.0000 6.3058" Properties=species:S:1:pos:R:3 comment="V2AgCl8 GGA-PBE optimized geometry" e_form_raw_ev_per_atom=-1.0084 total_energy_ev_per_cell=-46.954 magmom_total_mub_per_fu=3.00 vol_a3_per_atom=33.44 dos_at_fermi_per_ev_fu=11.5 pbc="T T T"
V 2.3209 0.0000 0.9801
V 9.2265 0.0000 5.3257
Ag -0.3476 0.0000 3.1529
Cl 4.2355 3.0005 4.6325
Cl 1.7090 0.0000 5.0936
Cl 7.3119 3.0005 1.6733
Cl 4.3145 0.0000 1.8056
Cl 7.2329 0.0000 4.5002
Cl 4.2355 -3.0005 4.6325
Cl 9.8383 0.0000 1.2122
Cl 7.3119 -3.0005 1.6733

---

Entry 4:
5
Lattice="5.1090 0.0000 0.0000 0.0000 5.1090 0.0000 0.0000 0.0000 5.1090" Properties=species:S:1:pos:R:3 comment="VAg3Cl GGA-PBE optimized geometry" e_form_raw_ev_per_atom=1.0719 total_energy_ev_per_cell=-14.160 magmom_total_mub_per_fu=3.80 e_above_lowest_polymorph_mev_per_atom=37 vol_a3_per_atom=26.67 dos_at_fermi_per_ev_fu=6.8 pbc="T T T"
V 0.0000 0.0000 0.0000
Ag 0.0000 0.0000 2.5545
Ag 0.0000 2.5545 0.0000
Ag 2.5545 0.0000 0.0000
Cl 2.5545 2.5545 2.5545

---

Entry 5:
7
Lattice="-2.8901 2.8901 6.3126 2.8901 -2.8901 6.3126 2.8901 2.8901 -6.3126" Properties=species:S:1:pos:R:3 comment="VAg2Cl4 GGA-PBE optimized geometry" e_form_raw_ev_per_atom=-0.5847 total_energy_ev_per_cell=-26.301 magmom_total_mub_per_fu=3.00 vol_a3_per_atom=30.13 dos_at_fermi_per_ev_fu=3.0 pbc="T T T"
V 0.0000 0.0000 0.0000
Ag 2.8901 0.0000 3.1563
Ag 0.0000 2.8901 3.1563
Cl 1.6224 -1.6224 4.7697
Cl 1.2677 1.2677 1.5429
Cl -1.6224 1.6224 4.7697
Cl 1.6224 1.6224 7.8555

---

Entry 6:
14
Lattice="6.4600 -3.3893 0.0000 6.4600 3.3893 0.0000 -3.1212 0.0000 8.6458" Properties=species:S:1:pos:R:3 comment="VAgCl5 GGA-PBE optimized geometry" e_form_raw_ev_per_atom=-0.8594 total_energy_ev_per_cell=-54.438 magmom_total_mub_per_fu=1.00 e_above_lowest_polymorph_mev_per_atom=100 vol_a3_per_atom=27.04 dos_at_fermi_per_ev_fu=2.4 pbc="T T T"
V 0.0000 0.0000 0.0000
V -1.5606 0.0000 4.3229
Ag 4.1192 0.0680 6.4844
Ag 5.6798 -0.0680 2.1615
Cl 1.6787 1.0344 1.0007
Cl 5.6798 2.4990 2.1615
Cl 3.5733 1.4448 4.4489
Cl 0.1181 -1.0344 5.3236
Cl 4.6651 1.4448 8.5198
Cl 5.1338 -1.4448 0.1260
Cl 9.6808 1.0344 3.3222
Cl 6.2257 -1.4448 4.1969
Cl 4.1192 -2.4990 6.4844
Cl 8.1203 -1.0344 7.6452